{"formula": "CoBiOF2", "functional": "GGA+U", "state": "optimized geometry", "lattice": [[4.2314, 0.0000, 0.0000], [0.0000, 4.2314, 0.0000], [0.0000, 0.0000, 3.7860]], "species": ["Co", "Bi", "O", "F", "F"], "frac_coords": [[0.0000, 0.0000, 0.0000], [0.5000, 0.5000, 0.5000], [0.0000, 0.0000, 0.5000], [0.0000, 0.5000, 0.0000], [0.5000, 0.0000, 0.0000]], "crystal_system": "tetragonal", "total_magnetization_mub_per_fu": 2.94, "volume_a3_per_atom": 13.56, "rho_g_cm3": 7.89, "sg": "P4/mmm", "energy_ev_per_cell": -23.7}